Here is a relaxed CrOF3 crystal from Alexandria. Energies are from GGA+U.

a = 3.8685 Å, b = 3.8685 Å, c = 3.8685 Å
α = 90.00°, β = 90.00°, γ = 90.00°
With the nearest neighbours (Å) after each atom.
Sites, in units of the cell vectors:
Cr 0.0000 0.0000 0.0000  12 F 2.74
O 0.5000 0.5000 0.5000  6 F 1.93
F 0.0000 0.5000 0.5000  2 O 1.93
F 0.5000 0.0000 0.5000  2 O 1.93
F 0.5000 0.5000 0.0000  2 O 1.93

Values from the calculation:
E: -3.920 eV per atom
Spin magnetization: 4.5 μB/f.u.
Space-group type: Pm-3m